[1]
The following is a DFT calculation (PBE-GGA) of PmDy2Hg after structural relaxation.

a = 3.633 Å, b = 3.633 Å, c = 31.866 Å
α = 90.00°, β = 90.00°, γ = 120.00°
Atoms (fractional coordinates):
Pm: 0.000 0.000 0.000
Pm: 0.333 0.667 0.667
Pm: 0.667 0.333 0.333
Dy: 0.000 0.000 0.242
Dy: 0.000 0.000 0.758
Dy: 0.333 0.667 0.425
Dy: 0.333 0.667 0.908
Dy: 0.667 0.333 0.092
Dy: 0.667 0.333 0.575
Hg: 0.000 0.000 0.500
Hg: 0.333 0.667 0.167
Hg: 0.667 0.333 0.833

Values from the calculation:
Its density of states at the Fermi level is 3.5 states/eV/f.u. For the energy of formation, the calculation gives -0.17 eV per atom. The symmetry is R-3m. The calculation puts the energy at -14.94 eV/f.u. The value obtained for the energy above the most stable polymorph in this dataset is 0.24 eV/f.u.

=====

[2]
The following is a DFT calculation (PBE-GGA) of PmDyHg after structural relaxation.

a = 4.833 Å, b = 4.833 Å, c = 7.710 Å
α = 90.00°, β = 90.00°, γ = 90.00°
Atoms (fractional coordinates):
Pm: 0.250 0.250 0.136
Pm: 0.750 0.750 0.864
Dy: 0.250 0.750 0.500
Dy: 0.750 0.250 0.500
Hg: 0.250 0.250 0.750
Hg: 0.750 0.750 0.250

Values from the calculation:
Its density of states at the Fermi level is 1.7 states/eV/f.u. For the energy of formation, the calculation gives -0.29 eV per atom. The symmetry is P4/nmm. The calculation puts the energy at -10.54 eV/f.u. The value obtained for the energy above the most stable polymorph in this dataset is 0.03 eV/f.u.